First-principles (GGA-PBEsol) data for a relaxed structure of HfCo2AuCl, as listed in Alexandria via LeMat-Bulk.

Structure (CIF):
```
data_HfCo2AuCl
_cell_length_a 4.078
_cell_length_b 4.078
_cell_length_c 4.623
_cell_angle_alpha 90.00
_cell_angle_beta 90.00
_cell_angle_gamma 90.00
_space_group_name_H-M_alt 'P 4/m m m'
_space_group_IT_number 123
_space_group_name_Hall '-P 4 2'
loop_
_atom_site_label
_atom_site_type_symbol
_atom_site_fract_x
_atom_site_fract_y
_atom_site_fract_z
Hf1 Hf 0.000 0.000 0.000
Co1 Co 0.000 0.500 0.500
Au1 Au 0.500 0.500 0.000
Cl1 Cl 0.000 0.000 0.500
```

## Properties
- Volume: 15.4 Å³ per atom
- E_form (uncorrected): 0.285 eV/atom

First-principles (GGA-PBEsol) data for a relaxed structure of La2CoAuCl, as listed in Alexandria via LeMat-Bulk.

Structure (CIF):
```
data_La2CoAuCl
_cell_length_a 5.668
_cell_length_b 5.668
_cell_length_c 4.629
_cell_angle_alpha 90.00
_cell_angle_beta 90.00
_cell_angle_gamma 90.00
_space_group_name_H-M_alt 'P 4/m m m'
_space_group_IT_number 123
_space_group_name_Hall '-P 4 2'
loop_
_atom_site_label
_atom_site_type_symbol
_atom_site_fract_x
_atom_site_fract_y
_atom_site_fract_z
La1 La 0.000 0.500 0.000
Co1 Co 0.000 0.000 0.500
Au1 Au 0.000 0.000 0.000
Cl1 Cl 0.500 0.500 0.500
```

## Properties
- Volume: 29.7 Å³ per atom
- E_form (uncorrected): -0.063 eV/atom

First-principles (GGA-PBEsol) data for a relaxed structure of Cr2AuCl, as listed in Alexandria via LeMat-Bulk.

Structure (CIF):
```
data_Cr2AuCl
_cell_length_a 3.163
_cell_length_b 4.256
_cell_length_c 5.260
_cell_angle_alpha 90.00
_cell_angle_beta 90.00
_cell_angle_gamma 90.00
_space_group_name_H-M_alt 'P m m m'
_space_group_IT_number 47
_space_group_name_Hall '-P 2 2'
loop_
_atom_site_label
_atom_site_type_symbol
_atom_site_fract_x
_atom_site_fract_y
_atom_site_fract_z
Cr1 Cr 0.000 0.000 0.000
Cr2 Cr 0.500 0.500 0.500
Au1 Au 0.000 0.000 0.500
Cl1 Cl 0.500 0.500 0.000
```

## Properties
- Volume: 17.7 Å³ per atom
- E_form (uncorrected): 0.464 eV/atom
- Energy above the most stable polymorph in this dataset: 0 meV per atom

First-principles (GGA-PBEsol) data for a relaxed structure of Cr2AuCl, as listed in Alexandria via LeMat-Bulk.

Structure (CIF):
```
data_Cr2AuCl
_cell_length_a 2.818
_cell_length_b 2.818
_cell_length_c 6.660
_cell_angle_alpha 90.00
_cell_angle_beta 90.00
_cell_angle_gamma 90.00
_space_group_name_H-M_alt 'P 4/m m m'
_space_group_IT_number 123
_space_group_name_Hall '-P 4 2'
loop_
_atom_site_label
_atom_site_type_symbol
_atom_site_fract_x
_atom_site_fract_y
_atom_site_fract_z
Cr1 Cr 0.000 0.000 0.216
Au1 Au 0.500 0.500 0.500
Cl1 Cl 0.500 0.500 0.000
```

## Properties
- Volume: 13.2 Å³ per atom
- E_form (uncorrected): 0.503 eV/atom
- Energy above the most stable polymorph in this dataset: 39 meV per atom

The lowest volume belongs to which entry? number 4